A plane-wave DFT calculation with PBE was carried out for BaNa2IrS after structural relaxation.

Values from the calculation:
Raw formation energy, kJ/mol of formula units: -47.0
Crystal system: tetragonal
Theoretical density, g cm⁻³: 4.3

Lattice parameters (Å, degrees): 5.054 6.220 5.054 90.00 90.00 90.00
Each line ends with the local moment (μB).
Sites, in units of the cell vectors:
Na (0.500, 0.000, 0.000)  0.00
Ba (0.000, 0.500, 0.000)  -0.02
Na (0.000, 0.000, 0.500)  0.00
S (0.000, 0.000, 0.000)  0.00
Ir (0.500, 0.500, 0.500)  1.01

=====

A plane-wave DFT calculation with PBE was carried out for BaNaScIr2 after structural relaxation.

Values from the calculation:
Energy of formation from the pure elements, eV/atom: 1.0508
Crystal system: tetragonal
Theoretical density, g cm⁻³: 8.3

Lattice parameters (Å, degrees): 5.038 5.038 4.664 90.00 90.00 90.00
Sites, in units of the cell vectors:
Na (0.000, 0.000, 0.000)
Ir (0.000, 0.500, 0.000)
Ir (0.500, 0.000, 0.000)
Sc (0.000, 0.000, 0.500)
Ba (0.500, 0.500, 0.500)

=====

A plane-wave DFT calculation with PBE was carried out for BaNaSiIr2 after structural relaxation.

Values from the calculation:
Raw formation energy, kJ/mol of formula units: 994.6
Crystal system: tetragonal
Theoretical density, g cm⁻³: 6.6

Lattice parameters (Å, degrees): 5.186 5.186 5.332 90.00 90.00 90.00
Sites, in units of the cell vectors:
Ir (0.000, 0.500, 0.000)
Na (0.000, 0.000, 0.500)
Ir (0.500, 0.000, 0.000)
Ba (0.000, 0.000, 0.000)
Si (0.500, 0.500, 0.500)

=====

A plane-wave DFT calculation with PBE was carried out for BaNa2SnIr after structural relaxation.

Values from the calculation:
Energy of formation from the pure elements, eV/atom: 0.1838
Crystal system: tetragonal
Theoretical density, g cm⁻³: 5.2

Lattice parameters (Å, degrees): 5.572 5.128 5.572 90.00 90.00 90.00
Sites, in units of the cell vectors:
Ba (0.500, 0.500, 0.500)
Na (0.500, 0.000, 0.000)
Na (0.000, 0.000, 0.500)
Sn (0.000, 0.000, 0.000)
Ir (0.000, 0.500, 0.000)

=====

A plane-wave DFT calculation with PBE was carried out for BaNaSr2Ir after structural relaxation.

Values from the calculation:
Energy of formation from the pure elements, eV/atom: -0.1145
Crystal system: tetragonal
Theoretical density, g cm⁻³: 4.0

Lattice parameters (Å, degrees): 5.970 5.970 6.159 90.00 90.00 90.00
Sites, in units of the cell vectors:
Ir (0.000, 0.000, 0.000)
Sr (0.500, 0.000, 0.000)
Na (0.500, 0.500, 0.500)
Ba (0.000, 0.000, 0.500)
Sr (0.000, 0.500, 0.000)

=====

A plane-wave DFT calculation with PBE was carried out for Ba4Na2Sr2Ir after structural relaxation.

Values from the calculation:
Energy of formation from the pure elements, eV/atom: -0.1068
Crystal system: monoclinic
Theoretical density, g cm⁻³: 3.4

Lattice parameters (Å, degrees): 7.286 8.551 8.551 61.48 84.67 84.67
Sites, in units of the cell vectors:
Ba (0.708, 0.849, 0.337)
Ba (0.292, 0.663, 0.151)
Sr (0.788, 0.844, 0.844)
Ba (0.708, 0.337, 0.849)
Na (0.225, 0.656, 0.656)
Sr (0.212, 0.156, 0.156)
Na (0.775, 0.344, 0.344)
Ir (0.500, 0.000, 0.000)
Ba (0.292, 0.151, 0.663)

=====

The size of the total moment results, record by record, are as follows: 1.000, 0.000, 0.000, 0.000, 0.000, 0.000 Bohr magnetons per cell.